VASP calculation (PBE) on crystalline TlCuAuS at its relaxed geometry.

Cell lengths 3.860, 3.860, 11.827 Å; angles 90.00, 90.00, 90.00 degrees
Space group P4/nmm (No. 129, origin choice 2)
Inequivalent atoms, fractional coordinates:
Tl1 0.250 0.250 0.230
Cu1 0.250 0.750 0.500
Au1 0.250 0.750 0.000
S1 0.250 0.250 0.617

VASP energy = -3.61 eV/atom
E_form (uncorrected) = -145 meV per atom

***

VASP calculation (PBE) on crystalline Sr4LaSi at its relaxed geometry.

Cell lengths 10.114, 10.114, 10.114 Å; angles 90.00, 90.00, 90.00 degrees
Space group F-43m (No. 216)
Inequivalent atoms, fractional coordinates:
Sr1 0.125 0.125 0.125
La1 0.250 0.250 0.750
Si1 0.000 0.000 0.500

VASP energy = -2.23 eV/atom
E_form (uncorrected) = 614 meV per atom